No. 1
BaCa2Se: relaxed, PBE-GGA.

Geometry as POSCAR:
```
BaCa2Se
1.0
-0.625 -6.774 -2.589
6.055 -3.842 -1.248
-4.136 3.524 4.843
Ba Se Ca
1 1 2
Cartesian
2.638 -3.440 0.612
2.798 -5.469 -1.977
5.409 -10.573 -3.822
-1.405 -3.533 0.437
```

Results
D(E_F)	1.3	states/eV/f.u.
raw formation energy	-0.72	eV per atom
V	158.5	Å³ per cell

No. 2
Ba4Ca2Se: relaxed, PBE-GGA.

Geometry as POSCAR:
```
Ba4Ca2Se
1.0
6.296 0.000 0.000
0.000 6.296 0.000
3.148 3.148 10.325
Ba Ca Se
4 2 1
Cartesian
0.000 3.148 0.000
3.148 0.000 0.000
3.148 3.148 6.994
6.296 6.296 3.330
6.296 6.296 7.512
3.148 3.148 2.813
0.000 0.000 0.000
```

Results
D(E_F)	11.4	states/eV/f.u.
raw formation energy	-0.33	eV per atom
V	409.3	Å³ per cell

No. 3
BaCa2Se: relaxed, PBE-GGA.

Geometry as POSCAR:
```
BaCa2Se
1.0
-1.293 -3.072 -2.496
2.649 -3.611 3.073
-4.232 -2.599 5.391
Ba Ca Se
1 2 1
Cartesian
-1.479 -5.895 4.548
-0.579 -3.771 1.467
0.103 -0.235 0.235
-1.713 -2.488 3.949
```

Results
D(E_F)	2.3	states/eV/f.u.
raw formation energy	-0.88	eV per atom
V	154.0	Å³ per cell

No. 4
Ba2CaSe: relaxed, PBE-GGA.

Geometry as POSCAR:
```
Ba2CaSe
1.0
-4.498 -2.305 3.120
0.969 -5.301 -2.519
2.811 -1.045 3.280
Ca Ba Se
1 2 1
Cartesian
-0.844 -1.675 3.200
-1.765 -3.803 0.301
0.000 0.000 0.000
1.890 -3.173 0.381
```

Results
D(E_F)	4.7	states/eV/f.u.
raw formation energy	-0.56	eV per atom
V	157.0	Å³ per cell

Which formula does entry 3 have?
BaCa2Se

Which of these has the lowest V?
number 3

Which of these has the highest D(E_F)?
Ba4Ca2Se

Which formula does entry 2 have?
Ba4Ca2Se